Entry 1:
Below is Pr4F after structural relaxation, with properties calculated at the PBE level.

Summary:
Electronic total energy (eV per atom): -5.182
Total magnetic moment (μB/atom): 0.000
ΔE_f (raw) (eV per atom): -0.98

Cell: 5.2688 5.2688 5.2688 Å, 90.00 90.00 90.00°
Space group Pm-3m (No. 221)
Symmetry-distinct sites (fractional):
Pr (0.0000, 0.0000, 0.0000) [1 per cell]
Pr (0.0000, 0.5000, 0.5000) [3 per cell]
F (0.5000, 0.5000, 0.5000) [1 per cell]

---

Entry 2:
Below is Zr2TeW after structural relaxation, with properties calculated at the PBE level.

Summary:
Energy above the most stable polymorph in this dataset (meV/atom): 313
Electronic total energy (eV per atom): -8.179
Total magnetic moment (μB/atom): 0.000
ΔE_f (raw) (eV per atom): 0.12

Cell: 6.9042 6.9042 6.9042 Å, 90.00 90.00 90.00°
Space group Fm-3m (No. 225)
Symmetry-distinct sites (fractional):
Zr (0.2500, 0.2500, 0.2500) [8 per cell]
Te (0.0000, 0.0000, 0.0000) [4 per cell]
W (0.0000, 0.0000, 0.5000) [4 per cell]